Sm2TeBr | GGA-PBE | relaxed

Cell: 4.4635 4.4635 7.1578 Å, 71.83 71.83 60.00°
Fractional positions:
Te 0.0000 0.0000 0.0000
Br 0.5000 0.5000 0.5000
Sm 0.2447 0.2447 0.2659
Sm 0.7553 0.7553 0.7341

## Properties
Relative energy among the computed polymorphs, meV per atom: 38
Final energy, eV/atom: -4.712
DOS at the Fermi energy, states/eV/f.u.: 2.5
Space-group type: R-3m (166)
Energy relative to the elements, uncorrected, meV per atom: -1149